Record 1
A geometry-optimized LiTi3Zn4 structure. Source: Alexandria via LeMat-Bulk, functional PBE.

The structure in extended XYZ format:
```
8
Lattice="3.0957 0.0000 0.0000 0.0000 4.4671 0.0000 0.0000 0.0000 8.9060" Properties=species:S:1:pos:R:3 pbc="T T T"
Li 0.0000 0.0000 0.0000
Ti 0.0000 0.0000 4.4530
Ti 0.0000 2.2336 2.2474
Ti 0.0000 2.2336 6.6586
Zn 1.5478 0.0000 2.1531
Zn 1.5478 0.0000 6.7529
Zn 1.5478 2.2336 0.0000
Zn 1.5478 2.2336 4.4530
```

space group: No. 47


Record 2
A geometry-optimized LiTi2Zn5 structure. Source: Alexandria via LeMat-Bulk, functional PBE.

The structure in extended XYZ format:
```
16
Lattice="4.0334 0.0000 0.0000 0.0000 4.0334 0.0000 0.0000 0.0000 14.6635" Properties=species:S:1:pos:R:3 pbc="T T T"
Li 0.0000 0.0000 0.0000
Li 2.0167 2.0167 7.3318
Ti 0.0000 0.0000 3.7051
Ti 0.0000 0.0000 10.9584
Ti 2.0167 2.0167 3.6266
Ti 2.0167 2.0167 11.0369
Zn 0.0000 0.0000 7.3318
Zn 0.0000 2.0167 1.7456
Zn 0.0000 2.0167 5.5862
Zn 0.0000 2.0167 9.0774
Zn 0.0000 2.0167 12.9179
Zn 2.0167 0.0000 1.7456
Zn 2.0167 0.0000 5.5862
Zn 2.0167 0.0000 9.0774
Zn 2.0167 0.0000 12.9179
Zn 2.0167 2.0167 0.0000
```

space group: No. 139


Record 3
A geometry-optimized LiTiZn14 structure. Source: Alexandria via LeMat-Bulk, functional PBE.

The structure in extended XYZ format:
```
16
Lattice="5.6733 0.0000 0.0000 0.0000 5.6733 0.0000 0.0000 0.0000 7.4644" Properties=species:S:1:pos:R:3 pbc="T T T"
Li 0.0000 0.0000 0.0000
Ti 2.8366 2.8366 0.0000
Zn 0.0000 0.0000 3.7322
Zn 0.0000 2.8366 0.0000
Zn 0.0000 2.8366 3.7322
Zn 1.4203 1.4203 1.8921
Zn 1.4203 1.4203 5.5723
Zn 1.4203 4.2530 1.8921
Zn 1.4203 4.2530 5.5723
Zn 2.8366 0.0000 0.0000
Zn 2.8366 0.0000 3.7322
Zn 2.8366 2.8366 3.7322
Zn 4.2530 1.4203 1.8921
Zn 4.2530 1.4203 5.5723
Zn 4.2530 4.2530 1.8921
Zn 4.2530 4.2530 5.5723
```

space group: No. 123


Record 4
A geometry-optimized Li2TiZn3 structure. Source: Alexandria via LeMat-Bulk, functional PBE.

The structure in extended XYZ format:
```
6
Lattice="2.7965 0.0000 0.0000 0.0000 2.7965 0.0000 0.0000 0.0000 11.6029" Properties=species:S:1:pos:R:3 pbc="T T T"
Li 0.0000 0.0000 1.8972
Li 0.0000 0.0000 9.7057
Ti 0.0000 0.0000 5.8015
Zn 1.3982 1.3982 0.0000
Zn 1.3982 1.3982 3.8237
Zn 1.3982 1.3982 7.7792
```

space group: No. 123


Record 5
A geometry-optimized LiTi2Zn4 structure. Source: Alexandria via LeMat-Bulk, functional PBE.

The structure in extended XYZ format:
```
14
Lattice="5.8618 0.0000 0.0000 0.0000 9.0815 0.0000 0.0000 0.0000 4.5466" Properties=species:S:1:pos:R:3 pbc="T T T"
Li 0.0000 0.0000 0.0000
Li 2.9309 4.5408 0.0000
Ti 0.0000 2.1322 2.2733
Ti 0.0000 6.9494 2.2733
Ti 2.9309 2.4086 2.2733
Ti 2.9309 6.6729 2.2733
Zn 1.3155 4.5408 2.2733
Zn 1.4654 2.2704 0.0000
Zn 1.4654 6.8112 0.0000
Zn 1.6154 0.0000 2.2733
Zn 4.2464 0.0000 2.2733
Zn 4.3963 2.2704 0.0000
Zn 4.3963 6.8112 0.0000
Zn 4.5463 4.5408 2.2733
```

space group: No. 65


Record 6
A geometry-optimized LiTiZn structure. Source: Alexandria via LeMat-Bulk, functional PBE.

The structure in extended XYZ format:
```
6
Lattice="2.9590 0.0000 0.0000 0.0000 2.9590 0.0000 0.0000 0.0000 10.9470" Properties=species:S:1:pos:R:3 pbc="T T T"
Li 0.7397 0.7397 1.0052
Li 2.2192 2.2192 9.9419
Ti 0.7397 0.7397 4.5250
Ti 2.2192 2.2192 6.4221
Zn 0.7397 0.7397 8.2843
Zn 2.2192 2.2192 2.6628
```

space group: No. 129


Record 7
A geometry-optimized LiTiZn structure. Source: Alexandria via LeMat-Bulk, functional PBE.

The structure in extended XYZ format:
```
6
Lattice="0.0000 3.6908 5.6059 2.3640 0.0000 5.6059 2.3640 3.6908 0.0000" Properties=species:S:1:pos:R:3 pbc="T T T"
Li 1.1820 1.8454 2.8029
Li 3.5460 5.5362 8.4088
Ti 2.3640 1.0849 5.6059
Ti 2.3640 6.2967 5.6059
Zn 2.3640 3.6908 4.3657
Zn 2.3640 3.6908 6.8461
```

space group: No. 69


Record 8
A geometry-optimized Li2TiZn6 structure. Source: Alexandria via LeMat-Bulk, functional PBE.

The structure in extended XYZ format:
```
9
Lattice="7.6207 0.0000 0.0000 -3.8103 6.5997 0.0000 0.0000 0.0000 2.6935" Properties=species:S:1:pos:R:3 pbc="T T T"
Li 0.0000 4.3998 0.0000
Li 3.8104 2.1999 0.0000
Ti 0.0000 0.0000 0.0000
Zn -1.2734 2.2057 1.3468
Zn -2.5369 4.3940 1.3468
Zn 2.5469 0.0000 1.3468
Zn 1.2734 2.2057 1.3468
Zn 5.0738 0.0000 1.3468
Zn 2.5369 4.3940 1.3468
```

space group: No. 191


Record 9
A geometry-optimized LiZrTiZn structure. Source: Alexandria via LeMat-Bulk, functional PBE.

The structure in extended XYZ format:
```
16
Lattice="6.4956 0.0000 0.0000 0.0000 6.4956 0.0000 0.0000 0.0000 6.4956" Properties=species:S:1:pos:R:3 pbc="T T T"
Li 0.0000 0.0000 0.0000
Li 0.0000 3.2478 3.2478
Li 3.2478 0.0000 3.2478
Li 3.2478 3.2478 0.0000
Zr 1.6239 1.6239 1.6239
Zr 1.6239 4.8717 4.8717
Zr 4.8717 1.6239 4.8717
Zr 4.8717 4.8717 1.6239
Ti 1.6239 1.6239 4.8717
Ti 1.6239 4.8717 1.6239
Ti 4.8717 1.6239 1.6239
Ti 4.8717 4.8717 4.8717
Zn 0.0000 0.0000 3.2478
Zn 0.0000 3.2478 0.0000
Zn 3.2478 0.0000 0.0000
Zn 3.2478 3.2478 3.2478
```

space group: No. 216


Record 10
A geometry-optimized Li2ZrTi structure. Source: Alexandria via LeMat-Bulk, functional PBE.

The structure in extended XYZ format:
```
16
Lattice="6.5317 0.0000 0.0000 0.0000 6.5317 0.0000 0.0000 0.0000 6.5317" Properties=species:S:1:pos:R:3 pbc="T T T"
Li 1.6329 1.6329 1.6329
Li 1.6329 1.6329 4.8988
Li 1.6329 4.8988 1.6329
Li 1.6329 4.8988 4.8988
Li 4.8988 1.6329 1.6329
Li 4.8988 1.6329 4.8988
Li 4.8988 4.8988 1.6329
Li 4.8988 4.8988 4.8988
Zr 0.0000 0.0000 0.0000
Zr 0.0000 3.2659 3.2659
Zr 3.2659 0.0000 3.2659
Zr 3.2659 3.2659 0.0000
Ti 0.0000 0.0000 3.2659
Ti 0.0000 3.2659 0.0000
Ti 3.2659 0.0000 0.0000
Ti 3.2659 3.2659 3.2659
```

space group: No. 225


Record 11
A geometry-optimized LiZrTi structure. Source: Alexandria via LeMat-Bulk, functional PBE.

The structure in extended XYZ format:
```
6
Lattice="2.9821 0.0000 0.0000 0.0000 2.9821 0.0000 0.0000 0.0000 13.6913" Properties=species:S:1:pos:R:3 pbc="T T T"
Li 0.7455 0.7455 1.0419
Li 2.2366 2.2366 12.6494
Zr 0.7455 0.7455 5.3730
Zr 2.2366 2.2366 8.3182
Ti 0.7455 0.7455 10.3646
Ti 2.2366 2.2366 3.3267
```

space group: No. 129


Record 12
A geometry-optimized LiZr2Ti structure. Source: Alexandria via LeMat-Bulk, functional PBE.

The structure in extended XYZ format:
```
12
Lattice="3.0580 0.0000 0.0000 -1.5290 2.6483 0.0000 0.0000 0.0000 32.3626" Properties=species:S:1:pos:R:3 pbc="T T T"
Li 0.0000 0.0000 0.0000
Li 0.0000 1.7655 21.5751
Li 1.5290 0.8828 10.7875
Zr 0.0000 0.0000 2.9694
Zr 0.0000 0.0000 29.3932
Zr 0.0000 1.7655 18.6057
Zr 0.0000 1.7655 24.5445
Zr 1.5290 0.8828 7.8181
Zr 1.5290 0.8828 13.7570
Ti 0.0000 0.0000 16.1813
Ti 0.0000 1.7655 5.3938
Ti 1.5290 0.8828 26.9688
```

space group: No. 166


Record 13
A geometry-optimized LiZr2Ti structure. Source: Alexandria via LeMat-Bulk, functional PBE.

The structure in extended XYZ format:
```
16
Lattice="4.0677 0.0000 0.0000 0.0000 4.0677 0.0000 0.0000 0.0000 20.0086" Properties=species:S:1:pos:R:3 pbc="T T T"
Li 0.0000 0.0000 0.0000
Li 0.0000 2.0338 5.0021
Li 2.0338 0.0000 15.0064
Li 2.0338 2.0338 10.0043
Zr 1.0109 1.0169 12.5054
Zr 1.0169 3.0447 17.5075
Zr 1.0169 3.0568 7.5032
Zr 1.0230 1.0169 2.5011
Zr 3.0447 3.0508 2.5011
Zr 3.0508 1.0109 7.5032
Zr 3.0508 1.0230 17.5075
Zr 3.0568 3.0508 12.5054
Ti 0.0000 0.0000 10.0043
Ti 0.0000 2.0338 15.0064
Ti 2.0338 0.0000 5.0021
Ti 2.0338 2.0338 0.0000
```

space group: No. 122


Record 14
A geometry-optimized LiZrTi3 structure. Source: Alexandria via LeMat-Bulk, functional PBE.

The structure in extended XYZ format:
```
5
Lattice="4.5257 0.0000 0.0000 0.0000 4.5257 0.0000 0.0000 0.0000 4.5257" Properties=species:S:1:pos:R:3 pbc="T T T"
Li 0.0000 0.0000 0.0000
Zr 2.2629 2.2629 2.2629
Ti 0.0000 0.0000 2.2629
Ti 0.0000 2.2629 0.0000
Ti 2.2629 0.0000 0.0000
```

space group: No. 221


Number 1: energy relative to the elements -0.155 eV/atom. Number 2: energy relative to the elements -0.185 eV/atom. Number 3: energy relative to the elements -0.065 eV/atom. Number 4: energy relative to the elements -0.157 eV/atom. Number 5: energy relative to the elements 0.010 eV/atom. Number 6: energy relative to the elements -0.127 eV/atom. Number 7: energy relative to the elements 0.175 eV/atom. Number 8: energy relative to the elements -0.181 eV/atom. Number 9: energy relative to the elements 0.053 eV/atom. Number 10: energy relative to the elements 0.433 eV/atom. Number 11: energy relative to the elements 0.137 eV/atom. Number 12: energy relative to the elements 0.214 eV/atom. Number 13: energy relative to the elements 0.618 eV/atom. Number 14: energy relative to the elements 0.763 eV/atom.